Compound: TiBe2ZnGa
Source: Alexandria via LeMat-Bulk
Functional: PBE
Structure: relaxed

Output
- Energy of formation: 1.30 eV/atom
- DOS(E_F): 4.0 states/eV per cell

The structure in CIF format:
```
data_TiBe2ZnGa
_cell_length_a 4.566
_cell_length_b 4.566
_cell_length_c 4.894
_cell_angle_alpha 90.00
_cell_angle_beta 90.00
_cell_angle_gamma 90.00
_space_group_name_H-M_alt 'P 4/m m m'
_space_group_IT_number 123
_space_group_name_Hall '-P 4 2'
loop_
_atom_site_label
_atom_site_type_symbol
_atom_site_fract_x
_atom_site_fract_y
_atom_site_fract_z
Ti1 Ti 0.000 0.000 0.000
Be1 Be 0.000 0.500 0.000
Zn1 Zn 0.500 0.500 0.500
Ga1 Ga 0.000 0.000 0.500
```

Compound: Y2HRu
Source: Alexandria via LeMat-Bulk
Functional: PBE
Structure: relaxed

Output
- Energy above the lowest structure with this stoichiometry: 232 meV/atom
- DOS(E_F): 11.0 states/eV per cell

The structure in CIF format:
```
data_Y2HRu
_cell_length_a 6.707
_cell_length_b 6.707
_cell_length_c 6.707
_cell_angle_alpha 90.00
_cell_angle_beta 90.00
_cell_angle_gamma 90.00
_space_group_name_H-M_alt 'F m -3 m'
_space_group_IT_number 225
_space_group_name_Hall '-F 4 2 3'
loop_
_atom_site_label
_atom_site_type_symbol
_atom_site_fract_x
_atom_site_fract_y
_atom_site_fract_z
Y1 Y 0.250 0.250 0.250
H1 H 0.000 0.000 0.000
Ru1 Ru 0.000 0.000 0.500
```

Compound: LaSm6In
Source: Alexandria via LeMat-Bulk
Functional: PBE
Structure: relaxed

Output
- Energy above the lowest structure with this stoichiometry: 0 meV/atom
- Energy of formation: -0.10 eV/atom
- DOS(E_F): 10.3 states/eV per cell

The structure in CIF format:
```
data_LaSm6In
_cell_length_a 4.993
_cell_length_b 4.993
_cell_length_c 10.369
_cell_angle_alpha 90.00
_cell_angle_beta 90.00
_cell_angle_gamma 90.00
_space_group_name_H-M_alt 'P 4/m m m'
_space_group_IT_number 123
_space_group_name_Hall '-P 4 2'
loop_
_atom_site_label
_atom_site_type_symbol
_atom_site_fract_x
_atom_site_fract_y
_atom_site_fract_z
La1 La 0.000 0.000 0.000
Sm1 Sm 0.000 0.500 0.261
Sm2 Sm 0.500 0.500 0.000
Sm3 Sm 0.500 0.500 0.500
In1 In 0.000 0.000 0.500
```

Total DFT energy (no corrections) readings, ordered: -13.14, -103.04, -36.82 eV for the cell shown